[1]
The following is a DFT calculation (GGA-PBE) of an optimized crystal structure of Np2GaCo5B2.

Summary:
SG: P4/mbm, No. 127
Energy of formation from the pure elements (eV/atom): -0.206

Cell and atoms, written as POSCAR:
```
Np2GaCo5B2
1.0
2.9312 0.0000 0.0000
0.0000 9.1608 0.0000
0.0000 0.0000 9.1608
Ga Co B Np
2 10 4 4
direct
0.0000 0.5000 0.5000
0.0000 0.0000 0.0000
0.5000 0.2703 0.5676
0.5000 0.7297 0.4324
0.5000 0.5676 0.7297
0.5000 0.5000 0.0000
0.5000 0.2297 0.0676
0.5000 0.7703 0.9324
0.5000 0.4324 0.2703
0.5000 0.9324 0.2297
0.5000 0.0676 0.7703
0.5000 0.0000 0.5000
0.0000 0.6167 0.8833
0.0000 0.1167 0.6167
0.0000 0.8833 0.3833
0.0000 0.3833 0.1167
0.0000 0.1797 0.3203
0.0000 0.6797 0.1797
0.0000 0.8203 0.6797
0.0000 0.3203 0.8203
```

[2]
The following is a DFT calculation (GGA-PBE) of an optimized crystal structure of CaAc3Cd2.

Summary:
SG: Pmc2_1, No. 26
Energy of formation from the pure elements (eV/atom): -0.186
Offset from the most stable computed form (meV per atom): 0.0

Cell and atoms, written as POSCAR:
```
CaAc3Cd2
1.0
-0.0056 -4.2894 -3.7497
-2.0696 -4.6492 5.3214
-10.0251 1.9399 -2.2042
Ac Cd Ca
6 4 2
direct
0.5000 0.1736 0.8238
0.0000 0.8220 0.6700
0.0000 0.9839 0.0504
0.5000 0.6736 0.1762
0.0000 0.4839 0.9496
0.0000 0.3220 0.3300
0.5000 0.7122 0.8453
0.0000 0.7898 0.3523
0.5000 0.2122 0.1547
0.0000 0.2898 0.6477
0.5000 0.5185 0.5467
0.5000 0.0185 0.4533
```

[3]
The following is a DFT calculation (GGA-PBE) of an optimized crystal structure of Sn3HgB.

Summary:
SG: Pm-3m, No. 221
Energy of formation from the pure elements (eV/atom): 1.501
Offset from the most stable computed form (meV per atom): 969.5

Cell and atoms, written as POSCAR:
```
Sn3HgB
1.0
5.5627 0.0000 0.0000
0.0000 5.5627 0.0000
0.0000 0.0000 5.5627
Hg Sn B
1 3 1
direct
0.0000 0.0000 0.0000
0.5000 0.0000 0.0000
0.0000 0.5000 0.0000
0.0000 0.0000 0.5000
0.5000 0.5000 0.5000
```

[4]
The following is a DFT calculation (GGA-PBE) of an optimized crystal structure of In4HgTe3.

Summary:
Uncorrected formation energy (eV/atom): -0.2237
SG: P2/c, No. 13
Offset from the most stable computed form (meV per atom): 0.0

Cell and atoms, written as POSCAR:
```
In4HgTe3
1.0
-2.3605 6.2318 3.8453
-3.2759 -0.0308 -7.0246
-6.8191 -4.5574 3.2000
Te Hg In
6 2 8
direct
0.2500 0.0000 0.6289
0.7500 0.5000 0.1322
0.2500 0.5000 0.3723
0.7500 0.0000 0.3711
0.2500 0.5000 0.8678
0.7500 0.5000 0.6277
0.7500 0.0000 0.8670
0.2500 0.0000 0.1330
0.4997 0.2485 0.8810
0.0012 0.7518 0.3775
0.5003 0.7515 0.1190
0.9988 0.2482 0.6225
0.9997 0.2485 0.1190
0.4988 0.2482 0.3775
0.0003 0.7515 0.8810
0.5012 0.7518 0.6225
```

Results for N(E_F): 16.74 6.84 4.03 2.12 (in states/eV/f.u., following the order of the records).